[1]
The following is a PBE calculation of a geometry-optimized TbGdAlFe structure, from Alexandria.

Cell: 5.011 5.011 5.011 Å, 60.00 60.00 60.00°
Each line ends with the local moment (μB).
Element x y z (fractional)
Al 0.000 0.000 0.000  -0.01
Tb 0.750 0.750 0.750  0.25
Fe 0.500 0.500 0.500  -2.19
Gd 0.250 0.250 0.250  7.23

- ΔH_f (0 K): -1.48 kcal/mol of atoms
- Space-group type: No. 216

***

[2]
The following is a PBE calculation of a geometry-optimized BeV2Ga4 structure, from Alexandria.

Cell: 4.446 4.446 6.901 Å, 71.21 71.21 90.00°
Element x y z (fractional)
Ga 0.500 0.000 0.000
V 0.401 0.401 0.198
Ga 0.811 0.811 0.378
Ga 0.000 0.500 0.000
Ga 0.189 0.189 0.622
V 0.599 0.599 0.802
Be 0.000 0.000 0.000

- ΔH_f (0 K): 10.87 kcal/mol of atoms
- Space-group type: No. 139

***

[3]
The following is a PBE calculation of a geometry-optimized PbI structure, from Alexandria.

Cell: 6.996 7.668 11.681 Å, 90.00 90.00 90.00°
Element x y z (fractional)
Pb 0.446 0.012 0.367
I 0.110 0.066 0.557
I 0.890 0.566 0.943
I 0.390 0.934 0.057
I 0.351 0.645 0.735
Pb 0.688 0.821 0.571
Pb 0.054 0.988 0.867
Pb 0.188 0.679 0.429
Pb 0.812 0.179 0.071
Pb 0.554 0.512 0.133
Pb 0.312 0.321 0.929
I 0.649 0.145 0.765
I 0.851 0.855 0.265
I 0.610 0.434 0.443
I 0.149 0.355 0.235
Pb 0.946 0.488 0.633

- Energy relative to the elements, uncorrected: -315 meV/atom
- Space-group type: No. 19

***

[4]
The following is a PBE calculation of a geometry-optimized LaZn2Ni6 structure, from Alexandria.

Cell: 7.446 7.446 7.446 Å, 60.00 60.00 60.00°
Element x y z (fractional)
Zn 0.125 0.125 0.125
La 0.750 0.750 0.750
Ni 0.509 0.991 0.509
Ni 0.741 0.741 0.259
Ni 0.741 0.259 0.259
Ni 0.259 0.741 0.259
Ni 0.259 0.741 0.741
Ni 0.741 0.259 0.741
Ni 0.259 0.259 0.741
Ni 0.991 0.509 0.509
Ni 0.509 0.991 0.991
Zn 0.125 0.625 0.125
Ni 0.509 0.509 0.991
Zn 0.125 0.125 0.625
Ni 0.991 0.509 0.991
La 0.500 0.500 0.500
Zn 0.625 0.125 0.125
Ni 0.991 0.991 0.509

- ΔH_f (0 K): 7.02 kcal/mol of atoms
- Space-group type: No. 227

***

[5]
The following is a PBE calculation of a geometry-optimized Sr2ZrRu structure, from Alexandria.

Cell: 3.427 5.081 6.044 Å, 90.00 90.00 90.00°
Element x y z (fractional)
Ru 0.500 0.500 0.750
Sr 0.000 0.000 0.986
Sr 0.000 0.000 0.514
Zr 0.500 0.500 0.250

- Energy above the most stable polymorph in this dataset: 687.7 meV/atom
- ΔH_f (0 K): 17.03 kcal/mol of atoms
- Space-group type: No. 47

***

[6]
The following is a PBE calculation of a geometry-optimized LiMg14AlO16 structure, from Alexandria.

Cell: 8.477 8.477 4.227 Å, 90.00 90.00 90.00°
Element x y z (fractional)
O 0.249 0.751 0.500
O 0.500 0.761 0.000
O 0.000 0.229 0.000
Mg 0.000 0.500 0.000
Mg 0.252 0.000 0.500
Mg 0.743 0.500 0.500
O 0.000 0.500 0.500
Mg 0.256 0.744 0.000
O 0.000 0.771 0.000
O 0.771 0.000 0.000
Mg 0.500 0.000 0.000
Mg 0.257 0.500 0.500
Mg 0.500 0.257 0.500
Mg 0.744 0.744 0.000
O 0.751 0.249 0.500
Li 0.500 0.500 0.000
Mg 0.000 0.748 0.500
O 0.229 0.000 0.000
Mg 0.748 0.000 0.500
Mg 0.500 0.743 0.500
O 0.761 0.500 0.000
O 0.000 0.000 0.500
Mg 0.744 0.256 0.000
Mg 0.000 0.252 0.500
O 0.500 0.500 0.500
O 0.249 0.249 0.500
O 0.239 0.500 0.000
Mg 0.256 0.256 0.000
O 0.500 0.239 0.000
Al 0.000 0.000 0.000
O 0.500 0.000 0.500
O 0.751 0.751 0.500

- Energy relative to the elements, uncorrected: -2681 meV/atom
- Energy above the most stable polymorph in this dataset: 9.9 meV/atom
- Space-group type: No. 123

***

[7]
The following is a PBE calculation of a geometry-optimized CaSeS3 structure, from Alexandria.

Cell: 4.818 4.818 4.818 Å, 90.00 90.00 90.00°
Element x y z (fractional)
S 0.000 0.000 0.500
Se 0.000 0.000 0.000
S 0.000 0.500 0.000
Ca 0.500 0.500 0.500
S 0.500 0.000 0.000

- Energy relative to the elements, uncorrected: -358 meV/atom
- Energy above the most stable polymorph in this dataset: 0.0 meV/atom
- Space-group type: No. 221

***

[8]
The following is a PBE calculation of a geometry-optimized Dy6TlAg2 structure, from Alexandria.

Cell: 8.695 8.695 8.695 Å, 107.44 110.81 110.19°
Element x y z (fractional)
Tl 0.000 0.000 0.000
Dy 0.203 0.243 0.446
Ag 0.645 0.000 0.645
Ag 0.355 0.000 0.355
Dy 0.797 0.243 0.040
Ag 0.500 0.633 0.133
Dy 0.717 0.394 0.677
Dy 0.717 0.039 0.323
Ag 0.500 0.367 0.867
Dy 0.908 0.726 0.182
Dy 0.203 0.757 0.960
Dy 0.544 0.726 0.818
Dy 0.283 0.606 0.323
Dy 0.283 0.961 0.677
Dy 0.797 0.757 0.554
Dy 0.456 0.274 0.182
Dy 0.092 0.274 0.818
Tl 0.000 0.500 0.500

- ΔH_f (0 K): -4.34 kcal/mol of atoms
- Space-group type: No. 71

***

[9]
The following is a PBE calculation of a geometry-optimized Li4Pm2Cl9 structure, from Alexandria.

Cell: 6.727 6.726 18.030 Å, 90.00 90.00 59.99°
Each line ends with the local moment (μB).
Element x y z (fractional)
Cl 0.371 0.979 0.917  0.00
Li 0.333 0.333 0.486  0.00
Cl 0.000 0.666 0.250  0.01
Cl 0.979 0.651 0.917  0.00
Cl 0.349 0.630 0.083  0.00
Li 0.333 0.333 0.986  0.00
Cl 0.629 0.021 0.083  0.00
Cl 0.979 0.371 0.417  0.00
Pm 0.000 0.000 0.846  0.29
Cl 0.000 0.334 0.750  0.01
Li 0.667 0.667 0.831  0.00
Cl 0.021 0.349 0.083  0.00
Cl 0.021 0.629 0.583  0.00
Cl 0.651 0.370 0.917  0.00
Cl 0.334 0.666 0.750  0.01
Cl 0.334 0.000 0.250  0.01
Cl 0.370 0.651 0.417  0.00
Cl 0.666 0.334 0.250  0.01
Cl 0.630 0.349 0.583  0.00
Cl 0.349 0.021 0.583  0.00
Cl 0.666 0.000 0.750  0.01
Li 0.666 0.667 0.331  0.00
Pm 0.000 0.000 0.154  0.29
Li 0.334 0.333 0.669  0.00
Li 0.667 0.667 0.514  0.00
Li 0.667 0.667 0.014  0.00
Cl 0.651 0.979 0.417  0.00
Li 0.333 0.333 0.169  0.00
Pm 0.000 0.000 0.654  0.29
Pm 0.000 0.000 0.346  0.29

- Energy relative to the elements, uncorrected: -1931 meV/atom
- Space-group type: No. 165

***

[10]
The following is a PBE calculation of a geometry-optimized Sb2Te2Se structure, from Alexandria.

Cell: 5.970 5.970 6.143 Å, 60.93 60.93 90.00°
Element x y z (fractional)
Te 0.325 0.325 0.351
Sb 0.250 0.750 0.500
Sb 0.750 0.250 0.500
Te 0.675 0.675 0.649
Se 0.000 0.000 0.000

- Energy relative to the elements, uncorrected: 267 meV/atom
- Energy above the most stable polymorph in this dataset: 458.9 meV/atom
- Space-group type: No. 139

***

[11]
The following is a PBE calculation of a geometry-optimized BeZnCoIr structure, from Alexandria.

Cell: 4.046 4.046 4.046 Å, 60.00 60.00 60.00°
Each line ends with the local moment (μB).
Element x y z (fractional)
Ir 0.250 0.250 0.250  0.07
Co 0.750 0.750 0.750  0.68
Zn 0.000 0.000 0.000  -0.01
Be 0.500 0.500 0.500  -0.02

- ΔH_f (0 K): -3.31 kcal/mol of atoms
- Space-group type: No. 216

***

[12]
The following is a PBE calculation of a geometry-optimized Tl3ZnF4 structure, from Alexandria.

Cell: 6.322 6.636 8.704 Å, 90.00 90.00 90.00°
Element x y z (fractional)
F 0.963 0.354 0.185
F 0.463 0.646 0.685
Tl 0.526 0.249 0.766
Tl 0.526 0.249 0.234
Zn 0.502 0.810 0.500
Zn 0.002 0.190 0.000
F 0.782 0.932 0.500
F 0.272 0.010 0.500
F 0.282 0.068 0.000
Tl 0.982 0.295 0.500
F 0.963 0.354 0.815
Tl 0.026 0.751 0.734
Tl 0.482 0.705 0.000
Tl 0.026 0.751 0.266
F 0.463 0.646 0.315
F 0.772 0.990 0.000

- Energy relative to the elements, uncorrected: -1636 meV/atom
- Space-group type: No. 31